ZrRu2 | PBE | optimized geometry

Space group ... Cmcm
Volume ... 98.8 Å³/cell
E_tot ... -9.1866 eV per atom
Mass density ... 9859 kg/m3

abc: 7.4011 7.4011 4.4559
angles: 90.00 90.00 156.12
Positions (direct):
Ru: 0.4233 0.5767 0.7500
Ru: 0.2277 0.7723 0.2500
Ru: 0.5767 0.4233 0.2500
Ru: 0.7723 0.2277 0.7500
Zr: 0.9059 0.0941 0.2500
Zr: 0.0941 0.9059 0.7500